# 1
20
Lattice="4.624 -7.668 0.000 4.624 7.668 0.000 -1.241 0.000 9.540" Properties=species:S:1:pos:R:3 comment="Nd6Dy2ErTm | the Alexandria database | PBE | optimized geometry" total_magnetization_mub_per_fu=0.0 sg="No. 15" total_energy_ev_per_atom=-4.568 dos_at_fermi_per_ev_cell=28.038 pbc="T T T"
Nd 2.417 4.269 1.805
Nd 3.391 4.949 5.285
Nd 3.995 4.949 9.025
Nd 3.227 1.671 3.651
Nd 6.210 4.269 2.965
Nd 5.401 1.671 1.119
Nd 2.607 -1.671 8.421
Nd 1.797 -4.269 6.575
Nd 4.780 -1.671 5.890
Nd 4.012 -4.949 0.515
Nd 4.616 -4.949 4.255
Nd 5.590 -4.269 7.735
Dy 2.252 0.749 0.437
Dy 1.631 -0.749 5.207
Dy 6.376 0.749 4.333
Dy 5.755 -0.749 9.104
Er 4.314 7.253 2.385
Er 3.693 -7.253 7.155
Tm 3.693 1.353 7.155
Tm 4.314 -1.353 2.385

***

# 2
12
Lattice="6.499 0.000 0.000 0.000 17.640 0.000 0.000 0.000 3.381" Properties=species:S:1:pos:R:3 comment="NdDyEr2Tm2 | the Alexandria database | PBE | optimized geometry" total_magnetization_mub_per_fu=0.0 sg="No. 58" total_energy_ev_per_atom=-4.288 dos_at_fermi_per_ev_cell=18.808 pbc="T T T"
Nd 0.000 0.000 0.000
Nd 3.249 8.820 1.690
Dy 0.000 8.820 0.000
Dy 3.249 0.000 1.690
Er 1.451 3.279 0.000
Er 1.798 12.099 1.690
Er 4.701 5.541 1.690
Er 5.047 14.360 0.000
Tm 1.436 6.196 1.690
Tm 1.813 15.016 0.000
Tm 4.685 2.624 0.000
Tm 5.063 11.444 1.690

***

# 3
9
Lattice="9.273 -1.787 0.000 9.273 1.787 0.000 -4.124 0.000 8.557" Properties=species:S:1:pos:R:3 comment="Nd2Dy2ErTm4 | the Alexandria database | PBE | optimized geometry" total_magnetization_mub_per_fu=0.0 sg="No. 12" total_energy_ev_per_atom=-4.578 dos_at_fermi_per_ev_cell=12.431 pbc="T T T"
Nd -1.062 0.000 8.556
Nd 15.483 0.000 0.001
Dy 5.154 0.000 2.894
Dy 9.268 0.000 5.663
Er 9.273 0.000 0.000
Tm -1.015 0.000 2.867
Tm 3.103 0.000 5.675
Tm 11.319 0.000 2.882
Tm 15.437 0.000 5.690